Entry 1:
VASP calculation (PBE) on a relaxed AgHgPd crystal.

abc: 4.625 4.625 2.948
angles: 90.00 90.00 120.00
Sites, in units of the cell vectors:
Ag (0.000, 0.000, 0.000)
Hg (0.333, 0.667, 0.663)
Pd (0.667, 0.333, 0.341)

Values from the calculation:
The calculation puts the energy relative to the elements at -30 meV per atom. The magnetization comes out at 0.00 μB/f.u. For the energy above the lowest structure with this stoichiometry, the calculation gives 0.13 eV/f.u. As for the crystal system: trigonal.

=====

Entry 2:
VASP calculation (PBE) on a relaxed Ag7HgPd3 crystal.

abc: 7.013 7.013 7.013
angles: 137.71 105.37 89.72
Sites, in units of the cell vectors:
Ag (0.000, 0.000, 0.000)
Ag (0.095, 0.767, 0.328)
Ag (0.327, 0.500, 0.827)
Ag (0.439, 0.767, 0.672)
Ag (0.561, 0.233, 0.328)
Ag (0.673, 0.500, 0.173)
Ag (0.905, 0.233, 0.672)
Hg (0.000, 0.500, 0.500)
Pd (0.270, 0.270, 0.000)
Pd (0.500, 0.000, 0.500)
Pd (0.730, 0.730, 0.000)

Values from the calculation:
The calculation puts the energy relative to the elements at 189 meV per atom. The magnetization comes out at 0.00 μB/f.u. As for the crystal system: orthorhombic.

=====

In Å³/f.u., the calculated volume values for the records above are, in order, 54.6, 213.8.